[1]
Density functional theory data (PBE) for a relaxed structure of Co2OsCl.

Unit cell a=2.740 b=2.772 c=7.172 alpha=89.98 beta=90.00 gamma=90.00
Site moments in Bohr magnetons follow the coordinates.
Fractional coordinates of all 4 atoms:
Co1 0.000 0.750 0.480  0.65
Co2 0.000 0.750 0.020  0.65
Os1 0.500 0.250 0.250  -0.01
Cl1 0.500 0.750 0.750  0.07

## Properties
Final energy: -26.0 eV/cell
Spin magnetization: 1.3 Bohr magnetons per cell
Polymorph energy (0 for the lowest one): 0 meV per atom
D(E_F): 4.43 states/eV/cell
ΔE_f (raw): 0.334 eV per atom

***

[2]
Density functional theory data (PBE) for a relaxed structure of Co2OsCl.

Unit cell a=4.410 b=4.410 c=4.410 alpha=127.38 beta=127.38 gamma=77.62
Site moments in Bohr magnetons follow the coordinates.
Fractional coordinates of all 4 atoms:
Cl1 0.750 0.250 0.500  0.03
Os1 0.250 0.750 0.500  0.27
Co1 0.000 0.000 0.000  0.92
Co2 0.500 0.500 0.000  0.92

## Properties
Final energy: -22.8 eV/cell
Spin magnetization: 2.1 Bohr magnetons per cell
Polymorph energy (0 for the lowest one): 798 meV per atom
D(E_F): 5.71 states/eV/cell
ΔE_f (raw): 1.132 eV per atom

***

- spin magnetization of number 2 (Co2OsCl)?
  2.1 Bohr magnetons per cell